VASP calculation (PBE) on a relaxed structure of Cs3HfAs.

Geometry as POSCAR:
```
Cs3HfAs
1.0
7.0276 0.0000 0.0000
0.0000 7.0276 0.0000
0.0000 0.0000 7.0276
As Cs Hf
1 3 1
Cartesian
0.0000 0.0000 0.0000
0.0000 3.5138 0.0000
3.5138 0.0000 0.0000
0.0000 0.0000 3.5138
3.5138 3.5138 3.5138
```

Summary:
ΔE to the lowest computed polymorph = 0 meV per atom
final energy = -12.3 eV/cell
formation enthalpy at 0 K = 0.973 eV per atom

VASP calculation (PBE) on a relaxed structure of PS.

Geometry as POSCAR:
```
PS
1.0
13.2382 0.0000 0.0000
0.0000 3.0466 0.0000
0.0000 0.0000 8.2734
S P
6 6
Cartesian
6.6191 1.5233 6.0873
9.6079 1.5233 3.9526
0.0000 0.0000 1.9506
2.9888 0.0000 8.0893
3.6303 1.5233 3.9526
10.2494 0.0000 8.0893
0.0000 1.5233 0.4377
1.7015 1.5233 7.2716
8.3206 0.0000 3.1349
11.5367 1.5233 7.2716
6.6191 0.0000 4.5744
4.9176 0.0000 3.1349
```

Summary:
energy relative to the elements, uncorrected = 5.7 meV/atom
ΔE to the lowest computed polymorph = 143 meV per atom
final energy = -57.2 eV/cell

VASP calculation (PBE) on a relaxed structure of Tm2Zn16Ir.

Geometry as POSCAR:
```
Tm2Zn16Ir
1.0
6.7075 0.0439 0.8050
0.7194 6.6690 0.8050
0.0485 0.0439 6.7555
Ir Zn Tm
1 16 2
Cartesian
6.7185 6.0726 7.5185
0.7662 0.6925 0.8574
4.1404 6.7141 7.9421
4.8133 4.3505 2.0746
2.6881 6.6963 5.8177
7.4283 6.7141 5.0041
3.0196 5.6094 3.3791
2.6985 2.4391 6.2265
5.4799 6.6963 3.3230
4.4818 1.0762 5.0154
6.9330 1.9998 5.8177
7.2143 4.7775 3.3230
1.5223 4.3505 5.0154
2.4938 4.7775 7.5411
7.0970 3.4429 7.9421
5.8850 2.4391 3.3791
5.0044 1.9998 7.5411
5.0498 4.5643 5.6511
2.5329 2.2894 2.8345
```

Summary:
final energy = -42.6 eV/cell
formation enthalpy at 0 K = -0.234 eV per atom

VASP calculation (PBE) on a relaxed structure of Sc4ZnHg.

Geometry as POSCAR:
```
Sc4ZnHg
1.0
4.6760 0.0000 -0.0019
-0.0001 4.6762 -0.0025
0.0026 0.0044 6.7591
Hg Sc Zn
1 4 1
Cartesian
2.3466 2.3299 6.7443
0.0079 2.3292 4.9900
2.3458 4.6673 4.9876
0.0064 2.3268 1.7421
2.3443 4.6647 1.7397
0.0078 4.6646 3.3637
```

Summary:
ΔE to the lowest computed polymorph = 0 meV per atom
final energy = -27.0 eV/cell
formation enthalpy at 0 K = -0.014 eV per atom

VASP calculation (PBE) on a relaxed structure of YTlTe2N.

Geometry as POSCAR:
```
YTlTe2N
1.0
6.2824 0.0000 0.0000
0.0000 6.2824 0.0000
0.0000 0.0000 4.0791
Tl Te Y N
1 2 1 1
Cartesian
3.1412 3.1412 2.0395
3.1412 0.0000 0.0000
0.0000 3.1412 0.0000
0.0000 0.0000 0.0000
0.0000 0.0000 2.0395
```

Summary:
energy relative to the elements, uncorrected = 25.1 meV/atom
ΔE to the lowest computed polymorph = 0 meV per atom
final energy = -23.3 eV/cell

VASP calculation (PBE) on a relaxed structure of Pu2H2SeCl.

Geometry as POSCAR:
```
Pu2H2SeCl
1.0
-1.3428 -1.6914 -3.2632
-2.1193 -0.1324 3.2869
-3.5700 6.7505 -2.0299
Pu Cl Se H
2 1 1 2
Cartesian
-2.7939 1.1131 0.5728
-4.2382 3.8137 -2.5790
0.0000 0.0000 0.0000
-1.7850 3.3753 -1.0150
-2.4579 0.4473 -1.5667
-4.5743 4.4794 -0.4395
```

Summary:
final energy = -47.2 eV/cell

VASP calculation (PBE) on a relaxed structure of Ag3BPb.

Geometry as POSCAR:
```
Ag3BPb
1.0
-3.9687 -3.4513 0.9422
2.9822 -3.9688 -1.9761
1.9762 -0.9419 4.8741
Ag Pb B
3 1 1
Cartesian
0.9881 -0.4709 2.4371
-1.9844 -1.7257 0.4711
1.4911 -1.9844 -0.9881
0.0000 0.0000 0.0000
0.4949 -4.1810 1.9201
```

Summary:
ΔE to the lowest computed polymorph = 1194 meV per atom
final energy = -11.0 eV/cell
formation enthalpy at 0 K = 1.586 eV per atom

VASP calculation (PBE) on a relaxed structure of Na10B17C3.

Geometry as POSCAR:
```
Na10B17C3
1.0
-5.9954 11.6336 -3.0715
6.1513 -11.9502 0.2731
-7.7246 -3.9757 0.0195
B Na C
17 10 3
Cartesian
-5.3176 -3.9125 -1.2751
-2.2373 -0.4065 -1.5001
-2.9082 -8.5908 -0.6116
-3.9719 2.9614 -1.9777
-0.5211 -13.2254 0.0456
-3.7108 -7.0323 -0.8326
-1.4781 -1.8805 -1.2911
2.5814 -9.7625 -0.1733
-8.4976 2.2616 -2.1507
0.2435 -5.2230 -0.8170
-10.8690 6.8659 -2.8036
-6.2933 7.4687 -2.6169
-1.3231 -11.6682 -0.1752
1.0356 -6.7611 -0.5989
-6.0805 -2.4314 -1.4851
3.3392 -11.2337 0.0354
-7.0660 8.9689 -2.8297
-1.1499 2.2213 -1.7368
-2.5300 -4.5281 -1.0501
-3.9931 -11.1842 -0.3787
-0.1662 -9.2145 -0.3883
-5.0087 0.2353 -1.7271
6.1453 -11.9489 0.2726
-7.4365 4.9118 -2.3914
2.2914 -13.9324 0.2823
-11.2719 2.9378 -2.3817
1.2888 -2.5627 -1.0598
-10.1644 5.4979 -2.6096
-4.6814 4.3390 -2.1731
-7.7699 0.8487 -1.9503
```

Summary:
ΔE to the lowest computed polymorph = 8 meV per atom
final energy = -148.0 eV/cell
formation enthalpy at 0 K = 0.213 eV per atom

VASP calculation (PBE) on a relaxed structure of SmCuPt3.

Geometry as POSCAR:
```
SmCuPt3
1.0
5.3483 0.0001 -0.0002
-0.0002 6.3313 0.0002
0.0003 -3.1657 5.4828
Cu Sm Pt
2 2 6
Cartesian
0.0000 0.0000 0.0000
2.6742 0.0001 -0.0001
4.0109 3.1660 1.8280
1.3376 -0.0004 3.6550
1.3369 1.8332 1.0583
4.0117 -1.3322 4.4245
4.0116 1.3325 4.4245
4.0115 0.0002 2.1168
1.3370 3.1654 3.3660
1.3367 4.4979 1.0583
```

Summary:
final energy = -59.7 eV/cell
formation enthalpy at 0 K = -0.583 eV per atom

VASP calculation (PBE) on a relaxed structure of RbSnAs2O8.

Geometry as POSCAR:
```
RbSnAs2O8
1.0
-2.1154 -4.1097 -2.2627
1.9197 -4.6935 0.8776
-5.7445 -3.9273 6.6512
O As Rb Sn
8 2 1 1
Cartesian
-0.8928 -6.5669 2.5631
-2.6375 -4.6896 1.4321
-5.2527 -9.6874 4.9486
-4.5030 -5.1062 3.2853
-4.3410 -7.8907 3.0260
-0.6874 -3.0432 0.3175
-2.9218 -7.4096 0.8254
-2.5243 -6.5287 4.6666
-4.2056 -9.5043 3.6371
-1.7346 -3.2263 1.6290
0.0000 0.0000 0.0000
-2.9701 -6.3653 2.6331
```

Summary:
energy relative to the elements, uncorrected = -1248.8 meV/atom
final energy = -68.9 eV/cell

VASP calculation (PBE) on a relaxed structure of Na2Ti2Cl.

Geometry as POSCAR:
```
Na2Ti2Cl
1.0
3.9572 0.0000 0.0000
0.0000 3.9572 0.0000
1.9786 1.9786 7.7521
Na Cl Ti
2 1 2
Cartesian
3.9572 1.9786 3.8760
1.9786 3.9572 3.8760
0.0000 0.0000 0.0000
3.9572 3.9572 6.7597
1.9786 1.9786 0.9924
```

Summary:
energy relative to the elements, uncorrected = 634.3 meV/atom
ΔE to the lowest computed polymorph = 500 meV per atom
final energy = -17.1 eV/cell

VASP calculation (PBE) on a relaxed structure of LiAg5Cl8.

Geometry as POSCAR:
```
LiAg5Cl8
1.0
7.3663 -0.4455 -2.1354
-4.2644 6.0229 -2.1354
0.2478 0.4455 7.6656
Cl Ag Li
8 5 1
Cartesian
2.7224 2.3248 3.2991
0.6692 5.6681 2.8381
3.2920 1.7087 -0.5669
-2.4168 4.8803 -0.4320
1.3975 5.0831 -0.9648
-2.9985 5.5016 3.1534
-0.1853 2.4643 1.2301
-0.7126 2.9292 5.0222
-1.0328 5.1384 -2.6184
1.5510 2.7887 -2.1354
0.4664 0.9255 3.2225
5.1351 2.2377 4.9770
2.1306 3.7442 1.2085
-1.2328 4.6286 1.6974
```

Summary:
energy relative to the elements, uncorrected = -581.3 meV/atom
ΔE to the lowest computed polymorph = 0 meV per atom
final energy = -39.1 eV/cell

VASP calculation (PBE) on a relaxed structure of Mg5Cr3.

Geometry as POSCAR:
```
Mg5Cr3
1.0
0.8221 3.7009 -4.6365
-5.6761 1.7034 0.8662
1.3583 3.1322 2.7411
Cr Mg
3 5
Cartesian
-0.0627 4.7863 -1.9416
-3.4330 3.7502 0.9124
-2.4270 2.7022 -1.8851
-2.8380 0.8517 0.4331
0.4110 1.8505 -2.3182
-2.8791 5.5278 -1.3933
-0.6166 3.0088 0.3641
0.0000 0.0000 0.0000
```

Summary:
ΔE to the lowest computed polymorph = 0 meV per atom
final energy = -33.4 eV/cell
formation enthalpy at 0 K = 0.424 eV per atom

VASP calculation (PBE) on a relaxed structure of Ce4Pt2C.

Geometry as POSCAR:
```
Ce4Pt2C
1.0
-0.2971 3.2953 -3.2812
0.3414 -3.2635 -3.3085
-7.8190 -0.7472 -3.3512
Ce C Pt
4 1 2
Cartesian
-2.8822 -0.2668 -3.3157
0.1707 -1.6318 -1.6542
-0.1485 1.6476 -1.6406
-4.8925 -0.4487 -6.6252
0.0000 0.0000 0.0000
-2.2227 -0.1889 -6.6060
-5.5520 -0.5266 -3.3349
```

Summary:
final energy = -47.2 eV/cell
formation enthalpy at 0 K = -0.304 eV per atom

VASP calculation (PBE) on a relaxed structure of KPd2Cl.

Geometry as POSCAR:
```
KPd2Cl
1.0
5.4656 0.0000 0.0000
0.0000 5.4656 0.0000
2.7328 2.7328 7.6951
Pd Cl K
4 2 2
Cartesian
2.7286 1.3664 1.9238
6.8320 5.4614 5.7713
2.7370 4.0992 1.9238
4.0992 5.4698 5.7713
2.7328 5.4656 3.8476
2.7328 2.7328 0.0000
5.4656 2.7328 3.8476
0.0000 0.0000 0.0000
```

Summary:
energy relative to the elements, uncorrected = -186.7 meV/atom
ΔE to the lowest computed polymorph = 0 meV per atom
final energy = -28.2 eV/cell

VASP calculation (PBE) on a relaxed structure of SmTm7Tl3.

Geometry as POSCAR:
```
SmTm7Tl3
1.0
7.8454 0.0000 0.0000
0.0000 7.1068 0.0000
0.0000 -3.5534 6.1547
Tm Tl Sm
7 3 1
Cartesian
0.7991 1.7444 5.1102
0.7991 -1.7444 5.1102
0.7991 0.0000 2.0888
3.6321 3.5534 4.0559
3.6321 5.2892 1.0494
0.8834 3.5534 2.0516
3.6321 1.8176 1.0494
6.1598 5.3157 3.0690
6.1598 1.7911 3.0690
6.1598 3.5534 0.0166
3.5511 0.0000 4.1031
```

Summary:
final energy = -43.6 eV/cell
formation enthalpy at 0 K = -0.046 eV per atom

VASP calculation (PBE) on a relaxed structure of KNa2Tc.

Geometry as POSCAR:
```
KNa2Tc
1.0
-3.7177 -8.0071 -1.3167
-0.3999 -1.2657 8.8265
-5.1850 -3.1956 3.8199
K Tc Na
2 2 4
Cartesian
-3.8219 -4.5489 8.2006
-2.0588 -4.6364 3.7549
-5.4807 -7.9196 3.1290
0.0000 0.0000 0.0000
-1.8682 -2.2835 6.3575
-7.5070 -10.5591 9.7748
-3.8125 -6.2690 1.1848
-5.4175 -5.8254 5.3422
```

Summary:
ΔE to the lowest computed polymorph = 104 meV per atom
final energy = -18.8 eV/cell
formation enthalpy at 0 K = 1.179 eV per atom

VASP calculation (PBE) on a relaxed structure of RbHg2Sb6.

Geometry as POSCAR:
```
RbHg2Sb6
1.0
3.9431 -0.0027 -0.0026
1.9677 9.0505 -1.4005
1.9677 -1.0024 9.1032
Sb Hg Rb
6 2 1
Cartesian
3.9425 -0.1259 5.5311
3.9425 5.5202 -0.3682
3.9360 2.5251 8.0683
3.9393 2.7419 5.1882
3.9360 8.1713 2.1690
3.9393 5.3034 2.5119
5.8992 5.6187 5.3776
1.9793 2.4266 2.3225
3.9431 -0.0027 -0.0026
```

Summary:
energy relative to the elements, uncorrected = -18.3 meV/atom
final energy = -26.5 eV/cell

VASP calculation (PBE) on a relaxed structure of Tb3BeP2Rh9.

Geometry as POSCAR:
```
Tb3BeP2Rh9
1.0
6.1963 0.0000 0.0000
-3.0982 5.3662 0.0000
0.0000 0.0000 7.5554
Rh P Tb Be
9 2 3 1
Cartesian
1.5491 2.6831 0.0000
1.5991 4.5007 2.5263
4.6973 0.8654 5.0290
3.0982 0.0000 0.0000
0.0000 1.7309 2.5263
3.0982 3.6353 5.0290
1.4990 0.8654 5.0290
-1.5992 4.5007 2.5263
-1.5491 2.6831 0.0000
3.0982 1.7887 6.2005
0.0000 3.5774 1.3548
0.0000 0.0000 0.0000
0.0000 3.5774 4.9793
3.0982 1.7887 2.5760
0.0000 0.0000 3.7777
```

Summary:
final energy = -106.0 eV/cell
formation enthalpy at 0 K = -0.760 eV per atom

VASP calculation (PBE) on a relaxed structure of K2Tl6SnPd.

Geometry as POSCAR:
```
K2Tl6SnPd
1.0
-6.8104 3.6747 -0.2523
-4.8573 -1.2503 -5.8984
-9.4513 -9.0424 4.6182
Tl K Pd Sn
12 4 2 2
Cartesian
-11.7634 -0.7677 -0.3136
-13.2861 -8.2841 0.3742
-14.1161 -6.1911 2.7736
-9.3556 -5.8504 -1.2189
-13.3144 -3.7144 -1.3656
-7.8329 1.6660 -1.9067
-10.4909 -2.9876 2.0630
-7.0029 -0.4270 -4.3060
-11.2219 -7.7527 2.8808
-10.6281 -3.6305 -3.5955
-7.8046 -2.9037 -0.1669
-9.8971 1.1346 -4.4133
-7.7436 -6.0180 2.5708
-13.3754 -0.6001 -4.1033
-16.3083 -5.7941 -0.5871
-4.8108 -0.8239 -0.9454
-10.5595 -3.3090 -0.7662
0.0000 0.0000 0.0000
-9.3362 -1.1425 -2.2329
-11.7829 -5.4756 0.7004
```

Summary:
final energy = -52.3 eV/cell
formation enthalpy at 0 K = -0.056 eV per atom

VASP calculation (PBE) on a relaxed structure of Pr2ZnCdRh.

Geometry as POSCAR:
```
Pr2ZnCdRh
1.0
4.5012 0.0000 0.0000
0.0000 7.3731 0.3214
0.0000 -2.7869 7.4390
Zn Pr Cd Rh
2 4 2 2
Cartesian
3.3759 2.3875 2.5496
1.1253 2.1987 5.2108
3.3759 5.1624 0.6367
1.1253 0.0290 2.5742
1.1253 -0.5762 7.1237
3.3759 4.5572 5.1862
3.3759 0.6395 4.9491
1.1253 3.9468 2.8113
3.3759 0.6663 0.6852
1.1253 3.9199 7.0751
```

Summary:
final energy = -42.6 eV/cell
formation enthalpy at 0 K = -0.435 eV per atom

VASP calculation (PBE) on a relaxed structure of AlNi4.

Geometry as POSCAR:
```
AlNi4
1.0
4.2023 0.0000 0.0000
0.0000 4.2023 0.0000
0.0000 0.0000 4.2023
Ni Al
4 1
Cartesian
2.1012 0.0000 2.1012
2.1012 2.1012 0.0000
0.0000 0.0000 0.0000
0.0000 2.1012 2.1012
2.1012 2.1012 2.1012
```

Summary:
final energy = -22.2 eV/cell
formation enthalpy at 0 K = 0.938 eV per atom